ThIn4Hg4 | GGA-PBE | optimized geometry

POSCAR file:
```
ThIn4Hg4
1.0
4.5978 0.0903 1.8513
2.4782 4.5729 0.8209
1.2784 -3.3255 12.2728
Hg In Th
4 4 1
direct
0.0302 0.2354 0.8713 Hg
0.9898 0.2468 0.3188 Hg
0.0102 0.7532 0.6812 Hg
0.9698 0.7646 0.1287 Hg
0.4465 0.5283 0.8124 In
0.9001 0.7950 0.4599 In
0.0999 0.2050 0.5401 In
0.5535 0.4717 0.1876 In
0.5000 0.0000 0.0000 Th
```

Calculated values
symmetry: No. 2
magnetic moment: 0.000 μB/f.u.
DOS(E_F): 3.84 states/eV per cell
formation enthalpy at 0 K: -0.082 eV/atom
mass density: 10.26 g/cm³